1.
Here is a geometry-optimized ErTm8Sn6 structure from Alexandria. Energies are from PBE.

Lattice parameters (Å, degrees): 8.9035 8.9035 19.3085 90.00 90.00 120.00
Closest atoms and distances in Å follow each position.
Space group R-3 (No. 148, hexagonal axes)
Inequivalent atoms, fractional coordinates:
Er: 0.0000 0.0000 0.0000 [3 per cell]  6 Sn 3.24, 6 Tm 3.61
Tm: 0.0000 0.0000 0.3334 [6 per cell]  6 Sn 3.24, 6 Tm 3.61
Tm: 0.9999 0.3333 0.1065 [18 per cell]  5 Sn 3.06-3.36
Sn: 0.0004 0.3334 0.2660 [18 per cell]  7 Tm 3.06-3.36, 1 Er 3.24

Computed properties:
Volume = 29.46 A^3/atom

2.
Here is a geometry-optimized ErTm2Sn2 structure from Alexandria. Energies are from PBE.

Lattice parameters (Å, degrees): 4.8895 17.8805 6.4108 90.00 90.00 90.00
Closest atoms and distances in Å follow each position.
Space group Cmc2_1 (No. 36)
Inequivalent atoms, fractional coordinates:
Er: 0.0000 0.1071 0.0000 [4 per cell]  5 Sn 2.95-3.27
Tm: 0.0000 0.3119 0.9931 [4 per cell]  6 Sn 3.17-3.22
Tm: 0.0000 0.4989 0.2482 [4 per cell]  4 Sn 3.20-3.22, 2 Tm 3.21, 4 Er 3.49-3.50
Sn: 0.0000 0.0739 0.4983 [4 per cell]  6 Tm 3.19-3.22, 3 Er 3.24-3.27
Sn: 0.0000 0.3006 0.4922 [4 per cell]  2 Er 2.95, 4 Tm 3.17-3.22

Computed properties:
Volume = 28.02 A^3/atom

3.
Here is a geometry-optimized ErTmSn structure from Alexandria. Energies are from PBE.

Lattice parameters (Å, degrees): 3.5135 3.5135 13.4413 90.00 90.00 90.00
Closest atoms and distances in Å follow each position.
Space group P4/nmm (No. 129, origin choice 2)
Inequivalent atoms, fractional coordinates:
Er: 0.2500 0.2500 0.0940 [2 per cell]  4 Sn 3.26, 8 Er 3.51-3.54
Tm: 0.2500 0.2500 0.4080 [2 per cell]  4 Sn 3.26, 8 Tm 3.50-3.51
Sn: 0.2500 0.2500 0.7486 [2 per cell]  4 Tm 3.26, 4 Er 3.26, 4 Sn 3.51

Computed properties:
Volume = 27.65 A^3/atom
E above lowest polymorph = 135.7 meV per atom

| no. | energy relative to the elements (eV per atom) |
| --- | --- |
| 1 | -0.4973 |
| 2 | -0.5808 |
| 3 | -0.4265 |